(1)
This record from Alexandria describes a relaxed MnCuS2 crystal. The functional is PBE.

## Properties
VASP energy	-45.73	eV per cell
E_form (uncorrected)	-336	meV per atom

Cell lengths 3.198, 6.300, 6.740 Å; angles 100.23, 90.12, 104.27 degrees
Space group P-1 (No. 2)
Unique sites:
Mn 0.183 0.362 0.377 [2 per cell]
Cu 0.470 0.950 0.185 [2 per cell]
S 0.350 0.701 0.872 [2 per cell]
S 0.359 0.726 0.413 [2 per cell]

(2)
This record from Alexandria describes a relaxed Sn2BiAu crystal. The functional is PBE.

## Properties
VASP energy	-45.92	eV per cell
E_form	-36	meV/atom

Cell lengths 4.1831, 4.1831, 21.8596 Å; angles 90.00, 90.00, 120.00 degrees
Space group R-3m (No. 166, hexagonal axes)
Unique sites:
Sn 0.0000 0.0000 0.2370 [6 per cell]
Bi 0.0000 0.0000 0.0000 [3 per cell]
Au 0.0000 0.0000 0.5000 [3 per cell]

(3)
This record from Alexandria describes a relaxed ErTmHf2 crystal. The functional is PBE.

## Properties
VASP energy	-84.88	eV per cell
E_form	162	meV/atom
ΔE to the lowest computed polymorph	0.0000	eV/atom

Cell lengths 3.2876, 3.2876, 32.5859 Å; angles 90.00, 90.00, 120.00 degrees
Space group R-3m (No. 166, hexagonal axes)
Unique sites:
Er 0.0000 0.0000 0.0000 [3 per cell]
Tm 0.0000 0.0000 0.5000 [3 per cell]
Hf 0.0000 0.0000 0.2499 [6 per cell]

(4)
This record from Alexandria describes a relaxed Ba3CdCu crystal. The functional is PBE.

## Properties
VASP energy	-45.60	eV per cell
E_form	-124	meV/atom
ΔE to the lowest computed polymorph	0.0000	eV/atom

Cell lengths 19.359, 4.535, 9.938 Å; angles 90.00, 95.10, 90.00 degrees
Space group C2/m (No. 12)
Unique sites:
Ba 0.051 0.000 0.323 [4 per cell]
Ba 0.107 0.500 0.950 [4 per cell]
Ba 0.237 0.000 0.701 [4 per cell]
Cd 0.092 0.500 0.589 [4 per cell]
Cu 0.229 0.000 0.036 [4 per cell]

(5)
This record from Alexandria describes a relaxed SrTl2SnOs crystal. The functional is PBE.

## Properties
VASP energy	-12.00	eV per cell
E_form	1929	meV/atom

Cell lengths 6.000, 6.000, 5.990 Å; angles 90.00, 90.00, 90.00 degrees
Space group P4/mmm (No. 123)
Unique sites:
Sr 0.000 0.000 0.000 [1 per cell]
Tl 0.000 0.500 0.000 [2 per cell]
Sn 0.000 0.000 0.500 [1 per cell]
Os 0.500 0.500 0.500 [1 per cell]

(6)
This record from Alexandria describes a relaxed BaCr3B crystal. The functional is PBE.

## Properties
VASP energy	-21.41	eV per cell
E_form	3213	meV/atom
ΔE to the lowest computed polymorph	2.3822	eV/atom

Cell lengths 5.133, 5.133, 5.133 Å; angles 90.00, 90.00, 90.00 degrees
Space group Pm-3m (No. 221)
Unique sites:
Ba 0.000 0.000 0.000 [1 per cell]
Cr 0.000 0.000 0.500 [3 per cell]
B 0.500 0.500 0.500 [1 per cell]

Computed values of DOS at the Fermi energy (unit: states/eV/cell) for the preceding records, in sequence: 2.9, 6.1, 16.5, 18.2, 9.0, 3.6.